Entry from Alexandria: a relaxed structure of MnCdAu (PBE-GGA).

a b c (Å): 3.4702 3.4702 9.0456
angles (deg): 90.00 90.00 90.00
Last column: nearest neighbours and their distance in Å.
Element x y z (fractional)
Mn 0.0000 0.0000 0.0000  4 Au 2.80, 5 Cd 2.92-2.94
Mn 0.5000 0.5000 0.5000  4 Au 2.80, 5 Cd 2.92-2.94
Cd 0.0000 0.0000 0.6750  5 Mn 2.92-2.94, 5 Au 2.92-2.93
Cd 0.5000 0.5000 0.1750  5 Mn 2.92-2.94, 5 Au 2.92-2.93
Au 0.0000 0.0000 0.3508  4 Mn 2.80, 5 Cd 2.92-2.93
Au 0.5000 0.5000 0.8508  4 Mn 2.80, 5 Cd 2.92-2.93

Output
DOS(E_F) ... 0.322 states/eV/atom
Density ... 11.1 g/cm³
Total energy ... -4.438 eV per atom
Energy relative to the elements ... 16 meV per atom
Space-group type ... No. 107
Volume ... 18.15 Å³ per atom

Entry from Alexandria: a relaxed structure of Li3Sm3HfTe8 (PBE-GGA).

a b c (Å): 8.6957 8.6957 8.6957
angles (deg): 60.17 60.17 60.17
Last column: nearest neighbours and their distance in Å.
Element x y z (fractional)
Li 0.0000 0.5000 0.5000  6 Te 3.03
Li 0.5000 0.0000 0.5000  6 Te 3.03
Li 0.5000 0.5000 0.0000  6 Te 3.03
Sm 0.0000 0.0000 0.5000  6 Te 3.13-3.14
Sm 0.0000 0.5000 0.0000  6 Te 3.13-3.14
Sm 0.5000 0.0000 0.0000  6 Te 3.13-3.14
Hf 0.5000 0.5000 0.5000  6 Te 2.94
Te 0.2541 0.2541 0.2541  3 Li 3.03, 3 Sm 3.13
Te 0.2612 0.2612 0.7301  1 Hf 2.94, 2 Li 3.03, 2 Sm 3.14
Te 0.2612 0.7301 0.2612  1 Hf 2.94, 2 Li 3.03, 2 Sm 3.14
Te 0.2699 0.7388 0.7388  1 Hf 2.94, 2 Li 3.03, 2 Sm 3.14
Te 0.7301 0.2612 0.2612  1 Hf 2.94, 2 Li 3.03, 2 Sm 3.14
Te 0.7388 0.2699 0.7388  1 Hf 2.94, 2 Li 3.03, 2 Sm 3.14
Te 0.7388 0.7388 0.2699  1 Hf 2.94, 2 Li 3.03, 2 Sm 3.14
Te 0.7459 0.7459 0.7459  3 Li 3.03, 3 Sm 3.13

Output
ΔE_f (raw) ... -1.189 eV/atom
Density ... 5.9 g/cm³
Total energy ... -4.855 eV per atom
Space-group type ... No. 166
Volume ... 31.11 Å³ per atom

Entry from Alexandria: a relaxed structure of LaRu (PBE-GGA).

a b c (Å): 10.3720 10.3720 3.8722
angles (deg): 90.00 90.00 90.00
Last column: nearest neighbours and their distance in Å.
Element x y z (fractional)
La 0.1008 0.2169 0.0000  2 Ru 2.62
La 0.2169 0.8992 0.0000  2 Ru 2.62
La 0.2831 0.6008 0.5000  2 Ru 2.62
La 0.3992 0.2831 0.5000  2 Ru 2.62
La 0.6008 0.7169 0.5000  2 Ru 2.62
La 0.7169 0.3992 0.5000  2 Ru 2.62
La 0.7831 0.1008 0.0000  2 Ru 2.62
La 0.8992 0.7831 0.0000  2 Ru 2.62
Ru 0.0631 0.3832 0.5000  2 La 2.62, 5 Ru 2.75
Ru 0.1168 0.5631 0.0000  2 La 2.62, 5 Ru 2.75
Ru 0.3832 0.9369 0.5000  2 La 2.62, 5 Ru 2.75
Ru 0.4369 0.1168 0.0000  2 La 2.62, 5 Ru 2.75
Ru 0.5631 0.8832 0.0000  2 La 2.62, 5 Ru 2.75
Ru 0.6168 0.0631 0.5000  2 La 2.62, 5 Ru 2.75
Ru 0.8832 0.4369 0.0000  2 La 2.62, 5 Ru 2.75
Ru 0.9369 0.6168 0.5000  2 La 2.62, 5 Ru 2.75

Output
DOS(E_F) ... 1.188 states/eV/atom
Density ... 7.7 g/cm³
Total energy ... -6.990 eV per atom
Energy relative to the elements ... 111 meV per atom
Space-group type ... No. 87
Volume ... 26.04 Å³ per atom

Entry from Alexandria: a relaxed structure of NaGd2Dy (PBE-GGA).

a b c (Å): 3.5118 3.5118 10.7392
angles (deg): 90.00 90.00 90.00
Last column: nearest neighbours and their distance in Å.
Element x y z (fractional)
Na 0.0000 0.0000 0.0000  4 Na 3.51, 8 Gd 3.81
Gd 0.5000 0.5000 0.2691  4 Dy 3.51, 4 Gd 3.51, 4 Na 3.81
Gd 0.5000 0.5000 0.7309  4 Dy 3.51, 4 Gd 3.51, 4 Na 3.81
Dy 0.0000 0.0000 0.5000  8 Gd 3.51, 4 Dy 3.51

Output
DOS(E_F) ... 1.388 states/eV/atom
Density ... 6.3 g/cm³
Distance to the lowest polymorph of the same formula ... 0 meV per atom
Total energy ... -8.408 eV per atom
Energy relative to the elements ... 112 meV per atom
Space-group type ... No. 123
Volume ... 33.11 Å³ per atom